Entry w
An optimized crystal structure of Zn2GaCu3. Source: the Alexandria database, functional PBE-GGA.

## Properties
- Spin magnetization: 0.00 μB/f.u.

The structure in POSCAR format:
```
Zn2GaCu3
1.0
4.965 0.000 0.000
0.000 5.678 1.256
0.000 -1.231 5.684
Zn Cu Ga
4 6 2
Direct
0.720 0.112 0.443
0.720 0.443 0.112
0.220 0.888 0.557
0.220 0.557 0.888
0.970 0.835 0.165
0.970 0.165 0.835
0.470 0.835 0.165
0.469 0.500 0.500
0.470 0.165 0.835
0.969 0.500 0.500
0.719 0.776 0.776
0.219 0.224 0.224
```

***

Entry x
An optimized crystal structure of Zn2GaCu3. Source: the Alexandria database, functional PBE-GGA.

## Properties
- Spin magnetization: 0.00 μB/f.u.

The structure in POSCAR format:
```
Zn2GaCu3
1.0
-0.740 -2.832 1.351
3.925 -0.744 0.590
-2.276 3.066 5.181
Zn Cu Ga
2 3 1
Direct
0.000 0.669 0.337
0.000 0.331 0.663
0.500 0.500 0.000
0.500 0.834 0.668
0.500 0.166 0.332
0.000 0.000 0.000
```

***

Short version: entry x, entry w, most stable first.

***

Entry w
An optimized crystal structure of ZrGa3Cu. Source: the Alexandria database, functional PBE-GGA.

## Properties
- Spin magnetization: 0.00 μB/f.u.

The structure in POSCAR format:
```
ZrGa3Cu
1.0
-1.254 0.733 -4.337
-4.375 -0.668 1.152
-0.449 4.464 0.884
Zr Ga Cu
1 3 1
Direct
0.500 0.500 0.500
0.000 0.500 0.000
0.000 0.000 0.500
0.500 0.000 0.000
0.000 0.000 0.000
```

***

Entry x
An optimized crystal structure of ZrGa3Cu. Source: the Alexandria database, functional PBE-GGA.

## Properties
- Spin magnetization: 0.00 μB/f.u.

The structure in POSCAR format:
```
ZrGa3Cu
1.0
5.196 0.000 0.000
0.000 5.196 0.000
0.000 0.000 5.196
Ga Cu Zr
3 1 1
Direct
0.000 0.500 0.000
0.500 0.000 0.000
0.000 0.000 0.500
0.500 0.500 0.500
0.000 0.000 0.000
```

***

Entry y
An optimized crystal structure of ZrGa3Cu. Source: the Alexandria database, functional PBE-GGA.

## Properties
- Spin magnetization: 0.00 μB/f.u.

The structure in POSCAR format:
```
ZrGa3Cu
1.0
-1.389 3.397 1.386
-6.062 -2.520 0.100
0.998 -2.152 6.277
Zr Ga Cu
2 6 2
Direct
0.250 0.750 0.810
0.750 0.250 0.190
0.750 0.053 0.692
0.750 0.750 0.106
0.250 0.553 0.308
0.250 0.250 0.894
0.750 0.447 0.692
0.250 0.947 0.308
0.250 0.250 0.521
0.750 0.750 0.479
```

***

Short version: entry y, entry w, entry x, most stable first.

***

Entry w
An optimized crystal structure of Zr4GaCu. Source: the Alexandria database, functional PBE-GGA.

## Properties
- Spin magnetization: 0.00 μB/f.u.

The structure in POSCAR format:
```
Zr4GaCu
1.0
-3.819 -3.405 0.835
3.854 -3.197 4.595
-2.503 4.006 4.887
Zr Ga Cu
8 2 2
Direct
0.000 0.843 0.348
0.000 0.157 0.652
0.500 0.843 0.652
0.500 0.652 0.157
0.500 0.348 0.843
0.000 0.652 0.843
0.000 0.348 0.157
0.500 0.157 0.348
0.250 0.000 0.000
0.750 0.000 0.000
0.750 0.500 0.500
0.250 0.500 0.500
```

***

Entry x
An optimized crystal structure of Zr4GaCu. Source: the Alexandria database, functional PBE-GGA.

## Properties
- Spin magnetization: 0.00 μB/f.u.

The structure in POSCAR format:
```
Zr4GaCu
1.0
-3.282 -2.269 3.759
5.035 -1.739 -1.295
1.010 4.928 2.180
Zr Cu Ga
4 1 1
Direct
0.596 0.096 0.191
0.096 0.904 0.500
0.404 0.596 0.500
0.904 0.404 0.809
0.500 0.500 0.000
0.000 0.000 0.000
```

***

Short version: entry x, entry w, most stable first.

***

Entry w
An optimized crystal structure of GdHfCu2. Source: the Alexandria database, functional PBE-GGA.

## Properties
- Spin magnetization: 7.90 μB/f.u.

The structure in POSCAR format:
```
GdHfCu2
1.0
3.304 0.000 0.000
0.000 4.790 0.000
0.000 0.000 4.790
Hf Gd Cu
1 1 2
Direct
0.500 0.000 0.000
0.500 0.500 0.500
0.000 0.500 0.000
0.000 0.000 0.500
```

***

Entry x
An optimized crystal structure of GdHfCu2. Source: the Alexandria database, functional PBE-GGA.

## Properties
- Spin magnetization: 7.73 μB/f.u.

The structure in POSCAR format:
```
GdHfCu2
1.0
-4.306 -0.290 2.005
-1.285 -3.955 2.314
-0.425 0.048 4.739
Hf Cu Gd
1 2 1
Direct
0.500 0.500 0.500
0.250 0.250 0.250
0.750 0.750 0.750
0.000 0.000 0.000
```

***

Short version: entry w, entry x, most stable first.

***

Entry w
An optimized crystal structure of Gd2HfCu. Source: the Alexandria database, functional PBE-GGA.

## Properties
- Spin magnetization: 15.28 μB/f.u.

The structure in POSCAR format:
```
Gd2HfCu
1.0
-1.880 0.210 2.646
0.236 -2.243 2.345
7.068 5.287 6.603
Cu Hf Gd
1 1 2
Direct
0.500 0.500 0.500
0.000 0.000 0.000
0.903 0.903 0.290
0.097 0.097 0.710
```

***

Entry x
An optimized crystal structure of Gd2HfCu. Source: the Alexandria database, functional PBE-GGA.

## Properties
- Spin magnetization: 14.29 μB/f.u.

The structure in POSCAR format:
```
Gd2HfCu
1.0
3.390 0.000 0.000
0.000 3.390 0.000
0.000 0.000 8.372
Cu Gd Hf
1 2 1
Direct
0.500 0.500 0.000
0.000 0.000 0.222
0.000 0.000 0.778
0.500 0.500 0.500
```

***

Short version: entry x, entry w, most stable first.

***

Entry w
An optimized crystal structure of GdHo2Cu. Source: the Alexandria database, functional PBE-GGA.

## Properties
- Spin magnetization: 7.37 μB/f.u.

The structure in POSCAR format:
```
GdHo2Cu
1.0
3.575 0.000 0.000
1.787 3.096 0.000
1.787 1.032 9.912
Ho Gd Cu
2 1 1
Direct
0.266 0.266 0.202
0.734 0.734 0.798
0.500 0.500 0.500
0.000 0.000 0.000
```

***

Entry x
An optimized crystal structure of GdHo2Cu. Source: the Alexandria database, functional PBE-GGA.

## Properties
- Spin magnetization: 7.61 μB/f.u.

The structure in POSCAR format:
```
GdHo2Cu
1.0
-0.312 -0.604 -3.415
0.645 -3.379 0.539
-8.505 -1.459 1.036
Ho Gd Cu
2 1 1
Direct
0.000 0.000 0.805
0.000 0.000 0.195
0.500 0.500 0.500
0.500 0.500 0.000
```

***

Short version: entry x, entry w, most stable first.

***

Entry w
An optimized crystal structure of LaGdCu. Source: the Alexandria database, functional PBE-GGA.

## Properties
- Spin magnetization: 8.07 μB/f.u.

The structure in POSCAR format:
```
LaGdCu
1.0
3.619 0.000 0.000
0.000 3.619 0.000
-1.810 -1.810 6.204
La Gd Cu
1 1 1
Direct
0.023 0.023 0.045
0.303 0.303 0.606
0.675 0.675 0.349
```

***

Entry x
An optimized crystal structure of LaGdCu. Source: the Alexandria database, functional PBE-GGA.

## Properties
- Spin magnetization: 7.36 μB/f.u.

The structure in POSCAR format:
```
LaGdCu
1.0
3.729 0.000 0.000
-1.865 3.230 0.000
0.000 0.000 7.117
Cu Gd La
1 1 1
Direct
0.667 0.333 0.341
0.333 0.667 0.616
0.000 0.000 0.043
```

***

Short version: entry w, entry x, most stable first.

***

Entry w
An optimized crystal structure of LiGdCu2. Source: the Alexandria database, functional PBE-GGA.

## Properties
- Spin magnetization: 7.28 μB/f.u.

The structure in POSCAR format:
```
LiGdCu2
1.0
-1.815 2.867 -2.606
-3.460 -1.069 -2.278
-4.471 2.021 1.825
Gd Cu Li
1 2 1
Direct
0.000 0.000 0.000
0.206 0.206 0.381
0.794 0.794 0.619
0.500 0.500 0.500
```

***

Entry x
An optimized crystal structure of LiGdCu2. Source: the Alexandria database, functional PBE-GGA.

## Properties
- Spin magnetization: 7.28 μB/f.u.

The structure in POSCAR format:
```
LiGdCu2
1.0
3.345 0.000 0.000
0.000 3.345 0.000
0.000 0.000 6.283
Cu Li Gd
2 1 1
Direct
0.000 0.000 0.200
0.000 0.000 0.800
0.500 0.500 0.000
0.500 0.500 0.500
```

***

Entry y
An optimized crystal structure of LiGdCu2. Source: the Alexandria database, functional PBE-GGA.

## Properties
- Spin magnetization: 7.32 μB/f.u.

The structure in POSCAR format:
```
LiGdCu2
1.0
4.696 0.000 0.000
2.348 4.067 0.000
2.348 1.356 3.834
Gd Li Cu
1 1 2
Direct
0.000 0.000 0.000
0.500 0.500 0.500
0.250 0.250 0.250
0.750 0.750 0.750
```

***

Short version: entry w, entry x, entry y, most stable first.

***

Entry w
An optimized crystal structure of GdLu2Cu. Source: the Alexandria database, functional PBE-GGA.

## Properties
- Spin magnetization: 8.19 μB/f.u.

The structure in POSCAR format:
```
GdLu2Cu
1.0
5.188 0.000 0.000
2.594 4.493 0.000
2.594 1.498 4.227
Lu Gd Cu
2 1 1
Direct
0.750 0.750 0.749
0.250 0.250 0.251
0.500 0.500 0.500
0.000 0.000 0.000
```

***

Entry x
An optimized crystal structure of GdLu2Cu. Source: the Alexandria database, functional PBE-GGA.

## Properties
- Spin magnetization: 7.89 μB/f.u.

The structure in POSCAR format:
```
GdLu2Cu
1.0
-1.501 0.613 3.023
2.095 -2.265 1.499
5.717 6.319 1.558
Lu Gd Cu
2 1 1
Direct
0.000 0.000 0.808
0.000 0.000 0.192
0.500 0.500 0.500
0.500 0.500 0.000
```

***

Short version: entry x, entry w, most stable first.

***

Entry w
An optimized crystal structure of Gd2MgCu. Source: the Alexandria database, functional PBE-GGA.

## Properties
- Spin magnetization: 14.88 μB/f.u.

The structure in POSCAR format:
```
Gd2MgCu
1.0
5.176 0.000 0.000
2.588 4.482 0.000
2.588 1.494 4.226
Cu Mg Gd
1 1 2
Direct
0.000 0.000 0.000
0.500 0.500 0.500
0.750 0.750 0.750
0.250 0.250 0.250
```

***

Entry x
An optimized crystal structure of Gd2MgCu. Source: the Alexandria database, functional PBE-GGA.

## Properties
- Spin magnetization: 14.89 μB/f.u.

The structure in POSCAR format:
```
Gd2MgCu
1.0
-3.473 -0.270 0.663
-0.524 -1.274 -3.268
1.081 -7.327 2.683
Gd Cu Mg
2 1 1
Direct
0.000 0.000 0.283
0.000 0.000 0.717
0.500 0.500 0.500
0.500 0.500 0.000
```

***

Entry y
An optimized crystal structure of Gd2MgCu. Source: the Alexandria database, functional PBE-GGA.

## Properties
- Spin magnetization: 15.10 μB/f.u.

The structure in POSCAR format:
```
Gd2MgCu
1.0
-1.988 2.674 -0.821
-1.910 1.522 2.411
6.880 8.162 2.740
Cu Gd Mg
1 2 1
Direct
0.500 0.500 0.500
0.102 0.102 0.694
0.898 0.898 0.306
0.000 0.000 0.000
```

***

Short version: entry x, entry w, entry y, most stable first.

***

Entry w
An optimized crystal structure of NaGd2Cu. Source: the Alexandria database, functional PBE-GGA.

## Properties
- Spin magnetization: 15.13 μB/f.u.

The structure in POSCAR format:
```
NaGd2Cu
1.0
3.606 0.000 0.000
1.803 3.123 0.000
1.803 1.041 11.019
Cu Na Gd
1 1 2
Direct
0.500 0.500 0.500
0.000 0.000 0.000
0.892 0.892 0.323
0.108 0.108 0.677
```

***

Entry x
An optimized crystal structure of NaGd2Cu. Source: the Alexandria database, functional PBE-GGA.

## Properties
- Spin magnetization: 14.78 μB/f.u.

The structure in POSCAR format:
```
NaGd2Cu
1.0
-2.162 -1.536 2.199
2.145 -2.686 0.233
4.453 4.192 7.308
Na Gd Cu
1 2 1
Direct
0.500 0.500 0.500
0.000 0.000 0.819
0.000 0.000 0.181
0.500 0.500 0.000
```

***

Short version: entry x, entry w, most stable first.

***

Entry w
An optimized crystal structure of NdGd2Cu. Source: the Alexandria database, functional PBE-GGA.

## Properties
- Spin magnetization: 14.51 μB/f.u.

The structure in POSCAR format:
```
NdGd2Cu
1.0
-1.159 2.082 -2.641
-3.320 -0.265 1.248
1.315 7.073 5.001
Nd Gd Cu
1 2 1
Direct
0.500 0.500 0.500
0.000 0.000 0.195
0.000 0.000 0.805
0.500 0.500 0.000
```

***

Entry x
An optimized crystal structure of NdGd2Cu. Source: the Alexandria database, functional PBE-GGA.

## Properties
- Spin magnetization: 15.14 μB/f.u.

The structure in POSCAR format:
```
NdGd2Cu
1.0
3.675 0.000 0.000
1.837 3.182 0.000
1.837 1.061 9.999
Cu Gd Nd
1 2 1
Direct
0.000 0.000 0.000
0.267 0.267 0.199
0.733 0.733 0.801
0.500 0.500 0.500
```

***

Short version: entry w, entry x, most stable first.